## AcTlGe2O6 (PBE)

Data for a relaxed AcTlGe2O6 crystal.

The raw formation energy comes out at -1.95 eV/atom.

It has space group C2/c (No. 15), with a = 8.389 Å, b = 12.012 Å, c = 7.298 Å, α = 90.00°, β = 103.63° and γ = 90.00°. The inequivalent atoms are Ac at (0.000, 0.100, 0.250), Tl at (0.000, 0.465, 0.750), Ge at (0.161, 0.167, 0.867), O at (0.052, 0.164, 0.602), O at (0.223, 0.208, 0.148) and O at (0.233, 0.029, 0.895).

---

## NaHoMg2 (PBE)

Data for a relaxed NaHoMg2 crystal.

As for the formation energy: 75 meV/atom. For the distance to the lowest polymorph of the same formula, the calculation gives 0.027 eV per atom.

It has space group P4/mmm (No. 123), with a = 5.656 Å, b = 5.656 Å, c = 3.472 Å, α = 90.00°, β = 90.00° and γ = 90.00°. The inequivalent atoms are Na at (0.000, 0.000, 0.000), Ho at (0.500, 0.500, 0.000) and Mg at (0.000, 0.500, 0.500).

---

## Li4NdIn4 (PBE)

Data for a relaxed Li4NdIn4 crystal.

As for the formation energy: -254 meV/atom.

It has space group P4_2/nmc (No. 137, origin choice 2), with a = 6.314 Å, b = 6.314 Å, c = 9.952 Å, α = 90.00°, β = 90.00° and γ = 90.00°. The inequivalent atoms are Li at (0.033, 0.250, 0.176), Nd at (0.250, 0.750, 0.250) and In at (0.017, 0.250, 0.463).

---

## ScZn2Ni (PBE)

Data for a relaxed ScZn2Ni crystal.

As for the formation energy: -29 meV/atom.

It has space group R3m (No. 160, hexagonal axes), with a = 3.2331 Å, b = 3.2331 Å, c = 22.6060 Å, α = 90.00°, β = 90.00° and γ = 120.00°. The inequivalent atoms are Sc at (0.0000, 0.0000, 0.0000), Zn at (0.0000, 0.0000, 0.5163), Zn at (0.0000, 0.0000, 0.7671) and Ni at (0.0000, 0.0000, 0.2556).

---

## HOsI2O (PBE)

Data for a relaxed HOsI2O crystal.

For the distance to the lowest polymorph of the same formula, the calculation gives 0.000 eV per atom.

It has space group P4/mmm (No. 123), with a = 5.598 Å, b = 5.598 Å, c = 3.719 Å, α = 90.00°, β = 90.00° and γ = 90.00°. The inequivalent atoms are H at (0.000, 0.000, 0.000), Os at (0.500, 0.500, 0.500), I at (0.000, 0.500, 0.500) and O at (0.500, 0.500, 0.000).

---

## YTlTe2 (PBE)

Data for a relaxed YTlTe2 crystal.

The raw formation energy comes out at -0.96 eV/atom.

It has space group I4_1/amd (No. 141, origin choice 2), with a = 6.475 Å, b = 6.475 Å, c = 13.115 Å, α = 90.00°, β = 90.00° and γ = 90.00°. The inequivalent atoms are Y at (0.000, 0.250, 0.375), Tl at (0.000, 0.250, 0.875) and Te at (0.000, 0.250, 0.142).

---

Number 1: V 178.7 Å³/f.u.. Number 2: V 111.1 Å³/f.u.. Number 3: V 198.4 Å³/f.u.. Number 4: V 68.2 Å³/f.u.. Number 5: V 116.5 Å³/f.u.. Number 6: V 137.5 Å³/f.u..